1.
This record from Alexandria via LeMat-Bulk describes crystalline LaNdNiAg at its relaxed geometry. The functional is PBE.

```
LaNdNiAg
1.0
-2.456 2.646 -3.733
-0.337 -1.976 -4.791
-4.572 -1.684 -1.799
Ni Nd Ag La
1 1 1 1
Cartesian
-5.524 -0.760 -7.743 Ni
0.000 0.000 0.000 Nd
-1.841 -0.253 -2.581 Ag
-3.683 -0.507 -5.162 La
```

**Energy relative to the elements**: -195 meV/atom
**Space group**: F-43m

=====

2.
This record from Alexandria via LeMat-Bulk describes crystalline La2NdAgO at its relaxed geometry. The functional is PBE.

```
La2NdAgO
1.0
-4.144 1.336 -2.541
-1.077 -4.860 -0.798
-2.620 -0.111 4.214
La Nd Ag O
2 1 1 1
Cartesian
-0.539 -2.430 -0.398 La
-3.150 -4.192 -2.067 La
-2.387 -4.915 1.310 Nd
-3.920 -1.818 0.436 Ag
0.000 0.000 0.000 O
```

**Space group**: P4/mmm
**Formation energy without anion corrections**: -571 kJ/mol of formula units

=====

3.
This record from Alexandria via LeMat-Bulk describes crystalline LaNd2AgO5 at its relaxed geometry. The functional is PBE.

```
LaNd2AgO5
1.0
6.124 0.000 0.000
0.000 6.685 0.000
0.000 0.000 6.685
La Nd Ag O
2 4 2 10
Cartesian
0.000 3.342 3.342 La
0.000 0.000 0.000 La
3.062 4.438 1.095 Nd
3.062 1.095 2.247 Nd
3.062 5.589 4.438 Nd
3.062 2.247 5.589 Nd
0.000 0.000 3.342 Ag
0.000 3.342 0.000 Ag
3.062 3.342 3.342 O
3.062 0.000 0.000 O
1.470 1.166 4.508 O
1.470 5.519 2.177 O
1.470 2.177 1.166 O
1.470 4.508 5.519 O
4.654 1.166 4.508 O
4.654 4.508 5.519 O
4.654 5.519 2.177 O
4.654 2.177 1.166 O
```

**Space group**: P4/mbm
**Formation energy without anion corrections**: -2144 kJ/mol of formula units

=====

4.
This record from Alexandria via LeMat-Bulk describes crystalline La2NdAgOs at its relaxed geometry. The functional is PBE.

```
La2NdAgOs
1.0
-3.041 1.905 -4.190
-4.587 -0.848 2.944
0.384 5.265 2.116
La Nd Ag Os
2 1 1 1
Cartesian
-1.925 4.638 3.506 La
-5.739 5.166 2.883 La
-4.399 1.728 3.979 Nd
-3.590 3.606 0.614 Ag
0.001 0.017 0.007 Os
```

**Energy relative to the elements**: 13 meV/atom
**Space group**: P4mm

=====

5.
This record from Alexandria via LeMat-Bulk describes crystalline LaNd2Ag2Pb2 at its relaxed geometry. The functional is PBE.

```
LaNd2Ag2Pb2
1.0
-4.507 2.210 -0.097
-2.438 0.539 -4.355
-6.287 -7.131 -0.257
La Nd Ag Pb
1 2 2 2
Cartesian
0.000 0.000 0.000 La
-4.667 -3.849 -0.757 Nd
-8.565 -0.533 -3.952 Nd
-5.890 -0.721 -2.579 Ag
-7.342 -3.661 -2.130 Ag
-10.117 -3.677 -3.472 Pb
-3.115 -0.705 -1.237 Pb
```

**Energy relative to the elements**: -336 meV/atom
**Space group**: R-3m

=====

6.
This record from Alexandria via LeMat-Bulk describes crystalline La2NdAg2Pb2 at its relaxed geometry. The functional is PBE.

```
La2NdAg2Pb2
1.0
-4.460 0.734 1.991
-4.063 -0.680 -2.725
-3.123 -8.821 2.381
La Nd Ag Pb
2 1 2 2
Cartesian
-3.005 -5.135 1.286 La
-8.640 -3.631 0.361 La
0.000 0.000 0.000 Nd
-5.763 -2.515 0.268 Ag
-5.882 -6.252 1.378 Ag
-8.750 -7.094 1.389 Pb
-2.895 -1.673 0.258 Pb
```

**Energy relative to the elements**: -322 meV/atom
**Space group**: R-3m

=====

7.
This record from Alexandria via LeMat-Bulk describes crystalline LaNdAgPd at its relaxed geometry. The functional is PBE.

```
LaNdAgPd
1.0
-0.860 3.840 0.405
-4.523 -0.882 -1.246
-0.895 -2.789 5.220
La Nd Ag Pd
1 1 1 1
Cartesian
-0.363 -0.239 1.488 La
-3.650 0.850 3.502 Nd
-1.109 -0.728 4.539 Ag
-2.911 1.335 0.476 Pd
```

**Energy relative to the elements**: -520 meV/atom
**Space group**: Amm2
**Energy relative to the lowest polymorph listed for this composition**: 0.0 meV/atom

=====

8.
This record from Alexandria via LeMat-Bulk describes crystalline LaNdAgPd at its relaxed geometry. The functional is PBE.

```
LaNdAgPd
1.0
5.264 0.000 0.000
2.632 4.559 0.000
2.632 1.520 4.298
Nd Pd Ag La
1 1 1 1
Cartesian
5.264 3.039 2.149 Nd
7.896 4.559 3.223 Pd
2.632 1.520 1.074 Ag
0.000 0.000 0.000 La
```

**Energy relative to the elements**: -481 meV/atom
**Space group**: F-43m
**Energy relative to the lowest polymorph listed for this composition**: 38.5 meV/atom

=====

9.
This record from Alexandria via LeMat-Bulk describes crystalline La2Pm2NdAg5 at its relaxed geometry. The functional is PBE.

```
La2Pm2NdAg5
1.0
4.376 0.000 0.000
0.000 11.122 0.000
0.000 0.000 11.122
La Pm Nd Ag
4 4 2 10
Cartesian
0.000 7.486 1.924 La
0.000 3.637 9.198 La
0.000 1.924 3.637 La
0.000 9.198 7.486 La
0.000 1.421 6.982 Pm
0.000 9.702 4.140 Pm
0.000 6.982 9.702 Pm
0.000 4.140 1.421 Pm
0.000 0.000 0.000 Nd
0.000 5.561 5.561 Nd
2.188 2.115 0.681 Ag
2.188 9.008 10.441 Ag
2.188 0.681 9.008 Ag
2.188 7.676 4.880 Ag
2.188 10.441 2.115 Ag
2.188 3.447 6.242 Ag
2.188 6.242 7.676 Ag
2.188 4.880 3.447 Ag
2.188 5.561 0.000 Ag
2.188 0.000 5.561 Ag
```

**Energy relative to the elements**: -118 meV/atom
**Space group**: P4/mbm

=====

10.
This record from Alexandria via LeMat-Bulk describes crystalline LaPrNdAg at its relaxed geometry. The functional is PBE.

```
LaPrNdAg
1.0
-0.695 3.709 -0.174
-3.698 -0.708 -0.309
-0.792 0.267 8.855
La Pr Nd Ag
1 1 1 1
Cartesian
-2.819 1.710 6.715 La
-0.060 0.020 0.673 Pr
-2.481 1.596 2.935 Nd
-0.447 0.151 4.997 Ag
```

**Energy relative to the elements**: -111 meV/atom
**Space group**: P4mm
**Energy relative to the lowest polymorph listed for this composition**: 0.0 meV/atom

=====

11.
This record from Alexandria via LeMat-Bulk describes crystalline LaPrNdAg at its relaxed geometry. The functional is PBE.

```
LaPrNdAg
1.0
5.546 0.000 0.000
2.773 4.803 0.000
2.773 1.601 4.528
Pr Nd Ag La
1 1 1 1
Cartesian
8.319 4.803 3.396 Pr
0.000 0.000 0.000 Nd
2.773 1.601 1.132 Ag
5.546 3.202 2.264 La
```

**Energy relative to the elements**: 73 meV/atom
**Space group**: F-43m
**Energy relative to the lowest polymorph listed for this composition**: 183.3 meV/atom

=====

12.
This record from Alexandria via LeMat-Bulk describes crystalline LaNdAgPt at its relaxed geometry. The functional is PBE.

```
LaNdAgPt
1.0
5.236 0.000 0.000
2.618 4.535 0.000
2.618 1.512 4.276
Nd Ag Pt La
1 1 1 1
Cartesian
7.855 4.535 3.207 Nd
0.000 0.000 0.000 Ag
5.236 3.023 2.138 Pt
2.618 1.512 1.069 La
```

**Energy relative to the elements**: -656 meV/atom
**Space group**: F-43m
**Energy relative to the lowest polymorph listed for this composition**: 49.2 meV/atom

=====

13.
This record from Alexandria via LeMat-Bulk describes crystalline LaNdAgPt at its relaxed geometry. The functional is PBE.

```
LaNdAgPt
1.0
-2.086 3.309 -0.720
-3.378 -1.509 2.850
3.590 0.903 4.732
La Nd Ag Pt
1 1 1 1
Cartesian
-0.874 2.764 4.254 La
0.711 0.714 1.220 Nd
-2.307 1.326 1.795 Ag
2.101 2.109 3.606 Pt
```

**Energy relative to the elements**: -705 meV/atom
**Space group**: Amm2
**Energy relative to the lowest polymorph listed for this composition**: 0.0 meV/atom

=====

14.
This record from Alexandria via LeMat-Bulk describes crystalline LaNdAgRh at its relaxed geometry. The functional is PBE.

```
LaNdAgRh
1.0
5.193 0.000 0.000
2.596 4.497 0.000
2.596 1.499 4.240
Rh Nd Ag La
1 1 1 1
Cartesian
7.789 4.497 3.180 Rh
0.000 0.000 0.000 Nd
2.596 1.499 1.060 Ag
5.193 2.998 2.120 La
```

**Energy relative to the elements**: -439 meV/atom
**Space group**: F-43m

=====

15.
This record from Alexandria via LeMat-Bulk describes crystalline La2NdAgRu at its relaxed geometry. The functional is PBE.

```
La2NdAgRu
1.0
5.428 0.000 0.000
0.000 5.428 0.000
0.000 0.000 5.619
La Nd Ag Ru
2 1 1 1
Cartesian
0.000 2.714 5.432 La
2.714 5.428 5.432 La
0.000 5.428 2.755 Nd
2.714 2.714 3.223 Ag
0.000 0.000 0.014 Ru
```

**Energy relative to the elements**: -91 meV/atom
**Space group**: P4mm

=====

16.
This record from Alexandria via LeMat-Bulk describes crystalline LaNdAgRu at its relaxed geometry. The functional is PBE.

```
LaNdAgRu
1.0
-2.753 -4.220 1.115
-0.344 -1.642 4.880
-4.460 0.431 2.559
Ru Nd Ag La
1 1 1 1
Cartesian
-5.668 -4.073 6.415 Ru
-3.778 -2.716 4.277 Nd
-1.889 -1.358 2.138 Ag
0.000 0.000 0.000 La
```

**Energy relative to the elements**: -199 meV/atom
**Space group**: F-43m

=====

17.
This record from Alexandria via LeMat-Bulk describes crystalline La2NdAgS5 at its relaxed geometry. The functional is PBE.

```
La2NdAgS5
1.0
-1.797 -1.869 3.152
7.743 2.339 3.159
-4.777 10.824 3.695
La Nd Ag S
4 2 2 10
Cartesian
0.432 8.815 8.115 La
-1.683 7.711 3.613 La
0.233 3.622 2.281 La
3.498 2.121 5.893 La
0.962 5.349 6.362 Nd
-2.181 11.357 5.491 Nd
-5.304 9.677 5.357 Ag
4.319 6.500 6.316 Ag
4.878 1.004 3.376 S
-2.223 8.690 6.527 S
-4.591 7.496 4.470 S
0.858 7.981 5.222 S
2.589 6.685 8.081 S
-1.323 4.884 4.784 S
2.549 4.517 4.131 S
5.490 4.412 5.746 S
1.160 1.391 4.128 S
0.158 1.034 0.704 S
```

**Space group**: Cmc2_1
**Formation energy without anion corrections**: -1529 kJ/mol of formula units

=====

18.
This record from Alexandria via LeMat-Bulk describes crystalline LaNdAg2S4 at its relaxed geometry. The functional is PBE.

```
LaNdAg2S4
1.0
-3.137 5.267 -3.023
-4.733 3.248 2.845
1.395 6.087 1.431
La Nd Ag S
1 1 2 4
Cartesian
0.000 0.000 0.000 La
-3.238 7.302 0.627 Nd
-1.635 3.965 0.878 Ag
-4.841 10.638 0.375 Ag
-0.917 6.079 -0.225 S
-4.062 6.011 2.920 S
-5.492 7.167 -0.958 S
-2.481 9.950 0.768 S
```

**Space group**: I222
**Formation energy without anion corrections**: -929 kJ/mol of formula units

=====

19.
This record from Alexandria via LeMat-Bulk describes crystalline La2NdAgSe5 at its relaxed geometry. The functional is PBE.

```
La2NdAgSe5
1.0
-0.051 4.086 1.149
-5.203 -4.060 6.362
10.285 -1.896 7.201
La Nd Ag Se
4 2 2 10
Cartesian
4.337 -1.011 11.628 La
5.884 -1.745 6.468 La
1.884 -1.078 3.918 La
-2.196 0.123 7.305 La
2.014 -0.148 8.456 Nd
-1.963 -0.804 2.769 Nd
9.280 0.007 8.230 Ag
0.060 -2.671 9.499 Ag
-3.770 -1.460 5.021 Se
6.640 -0.327 9.301 Se
2.727 -3.472 12.464 Se
3.886 -2.439 8.845 Se
1.136 -0.894 11.068 Se
3.677 0.534 6.104 Se
0.301 -1.895 6.749 Se
2.745 1.520 2.557 Se
-0.467 0.866 4.738 Se
0.342 -0.321 1.157 Se
```

**Space group**: Cmc2_1
**Formation energy without anion corrections**: -1426 kJ/mol of formula units

=====

20.
This record from Alexandria via LeMat-Bulk describes crystalline LaNdSiAg at its relaxed geometry. The functional is PBE.

```
LaNdSiAg
1.0
-5.187 -0.534 -0.774
-2.881 -2.884 3.343
-3.408 2.361 3.257
Si Nd Ag La
1 1 1 1
Cartesian
-2.869 -0.264 1.456 Si
0.000 0.000 0.000 Nd
-8.607 -0.793 4.369 Ag
-5.738 -0.529 2.913 La
```

**Space group**: F-43m
**Formation energy without anion corrections**: -162 kJ/mol of formula units

=====

21.
This record from Alexandria via LeMat-Bulk describes crystalline La2Nd2SmAg5 at its relaxed geometry. The functional is PBE.

```
La2Nd2SmAg5
1.0
-0.638 1.205 -4.147
2.354 -10.351 -3.369
-10.763 -2.728 0.862
La Nd Sm Ag
4 4 2 10
Cartesian
-0.274 -7.432 -2.117 La
-8.135 -5.647 -0.390 La
-3.118 -2.679 -0.299 La
-5.291 -10.400 -2.208 La
-6.467 -3.053 0.108 Nd
-1.942 -10.027 -2.614 Nd
-7.893 -8.888 -1.368 Nd
-0.516 -4.191 -1.138 Nd
0.000 0.000 0.000 Sm
-4.205 -6.540 -1.253 Sm
-0.539 -1.495 -2.649 Ag
-8.508 -10.379 -4.005 Ag
-8.931 -2.251 -1.578 Ag
-3.426 -7.701 -4.008 Ag
-0.117 -9.624 -5.076 Ag
-5.622 -4.174 -2.646 Ag
-6.387 -7.080 -3.372 Ag
-2.660 -4.794 -3.281 Ag
0.858 -4.573 -3.758 Ag
-5.701 -0.762 -1.642 Ag
```

**Energy relative to the elements**: -117 meV/atom
**Space group**: P4/mbm

=====

22.
This record from Alexandria via LeMat-Bulk describes crystalline LaNd2Ag2Sn2 at its relaxed geometry. The functional is PBE.

```
LaNd2Ag2Sn2
1.0
-1.347 2.346 4.092
2.705 -0.419 4.071
5.413 7.931 0.176
La Nd Ag Sn
1 2 2 2
Cartesian
0.000 0.000 0.000 La
3.412 4.991 1.203 Nd
3.358 4.867 7.137 Nd
2.289 3.319 4.732 Ag
4.481 6.539 3.607 Ag
5.288 7.702 6.147 Sn
1.482 2.156 2.193 Sn
```

**Energy relative to the elements**: -455 meV/atom
**Space group**: R-3m

=====

23.
This record from Alexandria via LeMat-Bulk describes crystalline LaNdAgSn at its relaxed geometry. The functional is PBE.

```
LaNdAgSn
1.0
-2.158 4.792 -1.478
-3.594 0.225 -4.103
-5.255 1.061 1.030
Nd Sn Ag La
1 1 1 1
Cartesian
0.000 0.000 0.000 Nd
-2.752 1.519 -1.138 Sn
-8.256 4.558 -3.414 Ag
-5.504 3.039 -2.276 La
```

**Energy relative to the elements**: -533 meV/atom
**Space group**: F-43m

=====

24.
This record from Alexandria via LeMat-Bulk describes crystalline La2TbNd2Ag5 at its relaxed geometry. The functional is PBE.

```
La2TbNd2Ag5
1.0
4.312 0.000 0.000
0.000 11.156 0.000
0.000 0.000 11.156
La Tb Nd Ag
4 2 4 10
Cartesian
0.000 7.503 1.925 La
0.000 3.653 9.231 La
0.000 1.925 3.653 La
0.000 9.231 7.503 La
0.000 0.000 0.000 Tb
0.000 5.578 5.578 Tb
0.000 1.452 7.030 Nd
0.000 9.704 4.126 Nd
0.000 7.030 9.704 Nd
0.000 4.126 1.452 Nd
2.156 2.050 0.676 Ag
2.156 9.106 10.480 Ag
2.156 0.676 9.106 Ag
2.156 7.628 4.902 Ag
2.156 10.480 2.050 Ag
2.156 3.528 6.254 Ag
2.156 6.254 7.628 Ag
2.156 4.902 3.528 Ag
2.156 5.578 0.000 Ag
2.156 0.000 5.578 Ag
```

**Energy relative to the elements**: -124 meV/atom
**Space group**: P4/mbm

=====

Magnetization list, top to bottom, in μB per cell: 0.00 0.00 0.00 0.00 0.00 0.00 0.00 0.00 0.00 0.00 2.17 0.00 0.00 0.00 0.00 0.00 0.00 0.00 0.00 0.00 0.00 0.00 0.47 0.00